1.
## ReNi2Ir6 (PBE)

Data for a relaxed ReNi2Ir6 crystal.

a b c (Å): 7.308 7.308 4.941
angles (deg): 96.89 96.89 99.90
Atoms (fractional coordinates):
Re 0.096 0.904 0.750
Re 0.904 0.096 0.250
Ni 0.357 0.389 0.641
Ni 0.389 0.357 0.141
Ni 0.611 0.643 0.859
Ni 0.643 0.611 0.359
Ir 0.044 0.251 0.814
Ir 0.092 0.438 0.320
Ir 0.251 0.044 0.314
Ir 0.255 0.642 0.980
Ir 0.358 0.745 0.520
Ir 0.438 0.092 0.820
Ir 0.562 0.908 0.180
Ir 0.642 0.255 0.480
Ir 0.745 0.358 0.020
Ir 0.749 0.956 0.686
Ir 0.908 0.562 0.680
Ir 0.956 0.749 0.186

Summary:
* final energy: -8.39 eV per atom
* size of the total moment: 0.000 μB/f.u.
* energy of formation: 182 meV per atom

2.
## TaAg2Sb (PBE)

Data for a relaxed TaAg2Sb crystal.

a b c (Å): 6.145 6.145 6.145
angles (deg): 101.75 101.75 126.35
Atoms (fractional coordinates):
Ta 0.000 0.000 0.000
Ta 0.750 0.250 0.500
Ag 0.127 0.625 0.002
Ag 0.375 0.377 0.502
Ag 0.623 0.125 0.998
Ag 0.875 0.873 0.498
Sb 0.250 0.750 0.500
Sb 0.500 0.500 0.000

Summary:
* final energy: -4.88 eV per atom
* size of the total moment: 0.000 μB/f.u.

Look up the final energy of the first one.
-8.39 eV per atom

Among the records above, which one has the lowest final energy?
ReNi2Ir6